Material: AsP2S
Method: DFT, PBE-GGA
State: optimized geometry

- mass density (Mg/m³) = 3.54
- energy relative to the elements, uncorrected (kcal/mol of atoms) = 11.3
- calculated total energy (eV for the cell shown) = -70.5

Geometry as CIF:
```
data_AsP2S
_chemical_formula_sum 'As4 P8 S4'
_symmetry_space_group_name_H-M 'I -4 2 d'
_symmetry_Int_Tables_number 122
_symmetry_space_group_name_Hall 'I -4 2bw'
_cell_length_a 6.402
_cell_length_b 6.402
_cell_length_c 7.736
_cell_angle_alpha 90.00
_cell_angle_beta 90.00
_cell_angle_gamma 90.00
loop_
_atom_site_label
_atom_site_type_symbol
_atom_site_fract_x
_atom_site_fract_y
_atom_site_fract_z
_atom_site_occupancy
As1 As 0.000 0.000 0.000 1
P1 P 0.249 0.250 0.625 1
S1 S 0.000 0.000 0.500 1
```